No. 1
Compound: Th4Tl3Au
Source: Alexandria via LeMat-Bulk
Functional: PBE-GGA
Structure: relaxed

Cell: 3.533 3.533 18.075 Å, 90.00 90.00 90.00°
Fractional coordinates of all 8 atoms:
1 Th 0.000 0.000 0.113
2 Th 0.000 0.000 0.371
3 Th 0.000 0.000 0.629
4 Th 0.000 0.000 0.887
5 Tl 0.500 0.500 0.243
6 Tl 0.500 0.500 0.500
7 Tl 0.500 0.500 0.757
8 Au 0.500 0.500 0.000

Calculated values
- Space group: No. 123
- Energy of formation: -0.2535 eV per atom
- ρ: 12.8 g/cm3

=====

No. 2
Compound: Th12TlAu6
Source: Alexandria via LeMat-Bulk
Functional: PBE-GGA
Structure: relaxed

Cell: 8.721 8.721 8.721 Å, 104.18 104.18 104.18°
Fractional coordinates of all 19 atoms:
1 Th 0.000 0.381 0.619
2 Th 0.000 0.619 0.381
3 Th 0.073 0.073 0.339
4 Th 0.073 0.339 0.073
5 Th 0.339 0.073 0.073
6 Th 0.381 0.000 0.619
7 Th 0.381 0.619 0.000
8 Th 0.619 0.000 0.381
9 Th 0.619 0.381 0.000
10 Th 0.661 0.927 0.927
11 Th 0.927 0.661 0.927
12 Th 0.927 0.927 0.661
13 Tl 0.500 0.500 0.500
14 Au 0.214 0.759 0.759
15 Au 0.241 0.241 0.786
16 Au 0.241 0.786 0.241
17 Au 0.759 0.214 0.759
18 Au 0.759 0.759 0.214
19 Au 0.786 0.241 0.241

Calculated values
- Space group: No. 166
- Energy of formation: -0.1096 eV per atom
- ρ: 11.7 g/cm3

=====

No. 3
Compound: Th7Tl2Au2
Source: Alexandria via LeMat-Bulk
Functional: PBE-GGA
Structure: relaxed

Cell: 7.158 7.158 7.100 Å, 90.00 90.00 105.71°
Fractional coordinates of all 11 atoms:
1 Th 0.000 0.000 0.000
2 Th 0.000 0.500 0.284
3 Th 0.000 0.500 0.716
4 Th 0.500 0.000 0.284
5 Th 0.500 0.000 0.716
6 Th 0.500 0.500 0.255
7 Th 0.500 0.500 0.745
8 Tl 0.168 0.168 0.500
9 Tl 0.832 0.832 0.500
10 Au 0.269 0.731 0.000
11 Au 0.731 0.269 0.000

Calculated values
- Space group: No. 65
- Energy of formation: 0.0417 eV per atom
- ρ: 11.5 g/cm3

=====

No. 4
Compound: TmThTlAu
Source: Alexandria via LeMat-Bulk
Functional: PBE-GGA
Structure: relaxed

Cell: 3.570 3.570 8.128 Å, 90.00 90.00 90.00°
Fractional coordinates of all 4 atoms:
1 Tm 0.000 0.000 0.000
2 Th 0.000 0.000 0.459
3 Tl 0.500 0.500 0.741
4 Au 0.500 0.500 0.196

Calculated values
- E above lowest polymorph: 0 meV/atom
- Space group: No. 99
- Energy of formation: -0.4882 eV per atom
- ρ: 12.9 g/cm3

=====

No. 5
Compound: TmThTlAu
Source: Alexandria via LeMat-Bulk
Functional: PBE-GGA
Structure: relaxed

Cell: 5.305 5.305 5.305 Å, 60.00 60.00 60.00°
Fractional coordinates of all 4 atoms:
1 Tm 0.000 0.000 0.000
2 Th 0.500 0.500 0.500
3 Tl 0.750 0.750 0.750
4 Au 0.250 0.250 0.250

Calculated values
- E above lowest polymorph: 100 meV/atom
- Space group: No. 216
- Energy of formation: -0.3887 eV per atom
- ρ: 12.6 g/cm3

=====

No. 6
Compound: ThTlZnAu
Source: Alexandria via LeMat-Bulk
Functional: PBE-GGA
Structure: relaxed

Cell: 5.079 5.079 5.079 Å, 60.00 60.00 60.00°
Fractional coordinates of all 4 atoms:
1 Th 0.000 0.000 0.000
2 Tl 0.500 0.500 0.500
3 Zn 0.750 0.750 0.750
4 Au 0.250 0.250 0.250

Calculated values
- Space group: No. 216
- Energy of formation: -0.3013 eV per atom
- ρ: 12.5 g/cm3

=====

The lowest energy of formation belongs to which entry? number 4